4
Lattice="5.991 -0.017 0.067 -2.982 5.196 0.067 0.669 1.152 2.912" Properties=species:S:1:pos:R:3 comment="CaSc2Ni, optimized geometry, DFT PBE-GGA" volume_a3_per_cell=89.6 mass_density_g_cm3=3.5 sg="No. 12" total_energy_ev_per_cell=-19.3 pbc="T T T"
Ca 3.330 0.567 1.489
Sc 1.504 2.589 0.067
Sc 0.000 0.000 0.000
Ni -1.157 3.174 1.489